[1]
Material: SrYHg2
Method: DFT, PBE
State: optimized geometry

a b c (Å): 4.323 4.301 6.763
angles (deg): 90.00 90.00 90.00
Fractional positions:
Hg: 0.000 0.000 0.949
Hg: 0.500 0.500 0.277
Sr: 0.000 0.000 0.446
Y: 0.500 0.500 0.828

Raw total energy = -2.504 eV per atom
Density = 7.6 g/cm³
Formation enthalpy at 0 K = -0.317 eV per atom

[2]
Material: SrYHg3
Method: DFT, PBE
State: optimized geometry

a b c (Å): 5.730 5.730 5.730
angles (deg): 90.00 90.00 90.00
Fractional positions:
Y: 0.000 0.000 0.000
Sr: 0.500 0.500 0.500
Hg: 0.000 0.500 0.000
Hg: 0.000 0.000 0.500
Hg: 0.500 0.000 0.000

Distance to the lowest polymorph of the same formula = 447 meV per atom
Raw total energy = -1.835 eV per atom
Density = 6.9 g/cm³
Formation enthalpy at 0 K = -0.025 eV per atom

- Which of these has the lowest raw total energy?
  SrYHg2